Density functional theory data (PBE) for a geometry-optimized GaSbRuI2 structure.

The space group is P4/mmm (No. 123) and the conventional cell measures 5.662, 5.662 and 4.977 Å, with angles of 90.00, 90.00 and 90.00 degrees. The distinct sites, in fractional coordinates, are Ga at (0.000, 0.000, 0.000), Sb at (0.500, 0.500, 0.000), Ru at (0.500, 0.500, 0.500) and I at (0.000, 0.500, 0.500).

The calculation puts the mass density at 5.69 g/cm³. The raw formation energy is 0.317 eV per atom.

***

Density functional theory data (PBE) for a geometry-optimized GaSbRu2I structure.

The space group is P4/mmm (No. 123) and the conventional cell measures 4.834, 4.834 and 5.814 Å, with angles of 90.00, 90.00 and 90.00 degrees. The distinct sites, in fractional coordinates, are Ga at (0.000, 0.000, 0.000), Sb at (0.500, 0.500, 0.000), Ru at (0.000, 0.500, 0.500) and I at (0.500, 0.500, 0.500).

The calculation puts the mass density at 6.36 g/cm³. The raw formation energy is 1.613 eV per atom.

***

Density functional theory data (PBE) for a geometry-optimized GaSbRuI2 structure.

The space group is P4/mmm (No. 123) and the conventional cell measures 5.530, 5.530 and 5.402 Å, with angles of 90.00, 90.00 and 90.00 degrees. The distinct sites, in fractional coordinates, are Ga at (0.000, 0.000, 0.000), Sb at (0.000, 0.000, 0.500), Ru at (0.500, 0.500, 0.500) and I at (0.000, 0.500, 0.000).

The calculation puts the mass density at 5.49 g/cm³. The raw formation energy is 1.129 eV per atom.

***

Density functional theory data (PBE) for a geometry-optimized GaSb2RuI structure.

The space group is P4/mmm (No. 123) and the conventional cell measures 5.263, 5.263 and 5.454 Å, with angles of 90.00, 90.00 and 90.00 degrees. The distinct sites, in fractional coordinates, are Ga at (0.000, 0.000, 0.000), Sb at (0.000, 0.500, 0.000), Ru at (0.500, 0.500, 0.500) and I at (0.000, 0.000, 0.500).

The calculation puts the mass density at 5.95 g/cm³. The raw formation energy is 1.240 eV per atom.

***

Density functional theory data (PBE) for a geometry-optimized GaSb2RuI structure.

The space group is P4/mmm (No. 123) and the conventional cell measures 5.052, 5.052 and 5.992 Å, with angles of 90.00, 90.00 and 90.00 degrees. The distinct sites, in fractional coordinates, are Ga at (0.000, 0.000, 0.000), Sb at (0.000, 0.500, 0.500), Ru at (0.500, 0.500, 0.500) and I at (0.500, 0.500, 0.000).

The calculation puts the mass density at 5.88 g/cm³. The raw formation energy is 0.362 eV per atom.

***

Density functional theory data (PBE) for a geometry-optimized Sm6GaRu2I3 structure.

The space group is C2/m (No. 12) and the conventional cell measures 7.253, 12.575 and 8.386 Å, with angles of 90.00, 106.87 and 90.00 degrees. The distinct sites, in fractional coordinates, are Sm at (0.208, 0.000, 0.188), Sm at (0.240, 0.322, 0.188), Ga at (0.000, 0.500, 0.000), Ru at (0.000, 0.167, 0.000), I at (0.000, 0.000, 0.500) and I at (0.000, 0.336, 0.500).

The calculation puts the mass density at 7.05 g/cm³. The raw formation energy is -0.693 eV per atom.

***

Density functional theory data (PBE) for a geometry-optimized GaTe2RuI structure.

The space group is P4/mmm (No. 123) and the conventional cell measures 5.364, 5.364 and 5.523 Å, with angles of 90.00, 90.00 and 90.00 degrees. The distinct sites, in fractional coordinates, are Ga at (0.000, 0.000, 0.000), Te at (0.000, 0.500, 0.000), Ru at (0.500, 0.500, 0.500) and I at (0.000, 0.000, 0.500).

The calculation puts the mass density at 5.78 g/cm³. The raw formation energy is 1.067 eV per atom.

***

Density functional theory data (PBE) for a geometry-optimized GaTe2RuI structure.

The space group is P4/mmm (No. 123) and the conventional cell measures 5.159, 5.159 and 5.861 Å, with angles of 90.00, 90.00 and 90.00 degrees. The distinct sites, in fractional coordinates, are Ga at (0.000, 0.000, 0.000), Te at (0.000, 0.500, 0.500), Ru at (0.500, 0.500, 0.500) and I at (0.500, 0.500, 0.000).

The calculation puts the mass density at 5.88 g/cm³. The raw formation energy is 0.314 eV per atom.

***

Density functional theory data (PBE) for a geometry-optimized Ga12S5I3 structure.

The space group is Ia-3d (No. 230) and the conventional cell measures 17.277, 17.277 and 17.277 Å, with angles of 90.00, 90.00 and 90.00 degrees. The distinct sites, in fractional coordinates, are Ga at (0.024, 0.058, 0.652), S at (0.000, 0.000, 0.000), S at (0.000, 0.250, 0.375) and I at (0.000, 0.250, 0.125).

The calculation puts the mass density at 3.55 g/cm³. The raw formation energy is -0.031 eV per atom.

***

Density functional theory data (PBE) for a geometry-optimized GaS2I structure.

The space group is I-42d (No. 122) and the conventional cell measures 6.844, 6.844 and 9.350 Å, with angles of 90.00, 90.00 and 90.00 degrees. The distinct sites, in fractional coordinates, are Ga at (0.000, 0.000, 0.000), S at (0.154, 0.750, 0.125) and I at (0.000, 0.000, 0.500).

The calculation puts the mass density at 3.95 g/cm³. The raw formation energy is 0.056 eV per atom.

***

Density functional theory data (PBE) for a geometry-optimized GaSI structure.

The space group is Pmn2_1 (No. 31) and the conventional cell measures 3.863, 9.514 and 5.319 Å, with angles of 90.00, 90.00 and 90.00 degrees. The distinct sites, in fractional coordinates, are Ga at (0.000, 0.106, 0.000), S at (0.000, 0.901, 0.238) and I at (0.000, 0.341, 0.212).

The calculation puts the mass density at 3.89 g/cm³. The raw formation energy is -0.569 eV per atom.

***

Density functional theory data (PBE) for a geometry-optimized GaS2I structure.

The space group is Fm-3m (No. 225) and the conventional cell measures 6.947, 6.947 and 6.947 Å, with angles of 90.00, 90.00 and 90.00 degrees. The distinct sites, in fractional coordinates, are Ga at (0.000, 0.000, 0.000), S at (0.250, 0.250, 0.250) and I at (0.000, 0.000, 0.500).

The calculation puts the mass density at 5.17 g/cm³. The raw formation energy is 0.614 eV per atom.

***

Q: Which total magnetization values were calculated for the entries above? A: 0.0; 1.6; 3.4; 2.2; 0.0; 0.0; 3.8; 0.0; 0.0; 1.5; 0.0; 0.0, in μB/f.u..